# MgNiNO2 PBE+U optimized geometry
data_MgNiNO2
_chemical_formula_sum 'Mg1 Ni1 N1 O2'
_space_group_name_H-M_alt 'P 1'
_space_group_IT_number 1
_cell_length_a 3.843
_cell_length_b 3.843
_cell_length_c 3.580
_cell_angle_alpha 90.00
_cell_angle_beta 90.00
_cell_angle_gamma 90.00
loop_
_space_group_symop_operation_xyz
'x,y,z'
loop_
_atom_site_label
_atom_site_fract_x
_atom_site_fract_y
_atom_site_fract_z
Mg1 0.000 0.000 0.000
Ni1 0.500 0.500 0.500
N1 0.500 0.500 0.000
O1 0.000 0.500 0.500
O2 0.500 0.000 0.500
# ρ = 4.1 g/cm³
# Uncorrected energy = -4.585 eV per atom
# Space-group type = P4/mmm, No. 123